Compound: TmZr
Source: the Open Quantum Materials Database
Functional: GGA-PBE
Structure: optimized geometry

symmetry	Pmma (51)
DFT formation energy	44	meV per atom
polymorph energy (0 for the lowest one)	0.0245	eV/atom
final energy	-6.47	eV/atom

```
TmZr
1.0
5.314 0.000 0.000
0.000 3.360 0.000
0.000 0.000 5.888
Tm Zr
2 2
Direct
0.250 0.000 0.169
0.750 0.000 0.831
0.250 0.500 0.650
0.750 0.500 0.350
```